No. 1
Density functional theory data (PBE) for a geometry-optimized Hf6CoPd2 structure.

Unit cell a=5.526 b=7.148 c=10.457 alpha=90.00 beta=120.89 gamma=90.00
Element x y z (fractional)
1 Hf 0.087 0.054 0.249
2 Hf 0.087 0.446 0.749
3 Hf 0.204 0.725 0.058
4 Hf 0.204 0.775 0.558
5 Hf 0.379 0.155 0.036
6 Hf 0.379 0.345 0.536
7 Hf 0.621 0.655 0.464
8 Hf 0.621 0.845 0.964
9 Hf 0.796 0.225 0.442
10 Hf 0.796 0.275 0.942
11 Hf 0.913 0.554 0.251
12 Hf 0.913 0.946 0.751
13 Co 0.500 0.000 0.500
14 Co 0.500 0.500 0.000
15 Pd 0.339 0.095 0.717
16 Pd 0.339 0.405 0.217
17 Pd 0.661 0.595 0.783
18 Pd 0.661 0.905 0.283

Properties
The calculation puts the total magnetic moment at 0.000 μB per atom. The formation energy from the elements comes out at -28 kJ per mole of atoms. As for the final energy: -8.872 eV/atom. The calculation puts the excess energy over the best structure of this formula in the dataset at 0.73 eV/f.u.

No. 2
Density functional theory data (PBE) for a geometry-optimized YB2IrRu structure.

Unit cell a=3.929 b=3.929 c=9.451 alpha=90.00 beta=90.00 gamma=90.00
Element x y z (fractional)
1 Y 0.000 0.000 0.000
2 Y 0.500 0.500 0.500
3 B 0.000 0.000 0.339
4 B 0.000 0.000 0.661
5 B 0.500 0.500 0.161
6 B 0.500 0.500 0.839
7 Ir 0.000 0.500 0.250
8 Ir 0.500 0.000 0.750
9 Ru 0.000 0.500 0.750
10 Ru 0.500 0.000 0.250

Properties
The calculation puts the total magnetic moment at 0.000 μB per atom. The formation energy from the elements comes out at -60 kJ per mole of atoms. As for the final energy: -8.212 eV/atom.

No. 3
Density functional theory data (PBE) for a geometry-optimized AgBiTe2 structure.

Unit cell a=7.401 b=4.559 c=16.565 alpha=90.00 beta=90.00 gamma=90.00
Element x y z (fractional)
1 Ag 0.242 0.250 0.180
2 Ag 0.258 0.750 0.680
3 Ag 0.742 0.250 0.320
4 Ag 0.758 0.750 0.820
5 Bi 0.249 0.750 0.452
6 Bi 0.251 0.250 0.952
7 Bi 0.749 0.750 0.048
8 Bi 0.751 0.250 0.548
9 Te 0.134 0.750 0.840
10 Te 0.135 0.250 0.593
11 Te 0.365 0.750 0.093
12 Te 0.366 0.250 0.340
13 Te 0.634 0.750 0.660
14 Te 0.635 0.250 0.907
15 Te 0.865 0.750 0.407
16 Te 0.866 0.250 0.160

Properties
The calculation puts the total magnetic moment at 0.000 μB per atom. As for the final energy: -3.385 eV/atom.

No. 4
Density functional theory data (PBE) for a geometry-optimized MnAl2CuH structure.

Unit cell a=4.013 b=4.013 c=3.413 alpha=90.00 beta=90.00 gamma=90.00
Element x y z (fractional)
1 Mn 0.000 0.000 0.000
2 Al 0.000 0.500 0.500
3 Al 0.500 0.000 0.500
4 Cu 0.500 0.500 0.000
5 H 0.000 0.000 0.500

Properties
The calculation puts the total magnetic moment at 0.402 μB per atom. As for the final energy: -4.876 eV/atom.

No. 5
Density functional theory data (PBE) for a geometry-optimized CuAg2Te structure.

Unit cell a=8.523 b=3.041 c=6.291 alpha=90.00 beta=97.75 gamma=90.00
Element x y z (fractional)
1 Cu 0.000 0.000 0.000
2 Cu 0.500 0.500 0.000
3 Ag 0.238 0.500 0.196
4 Ag 0.262 0.000 0.804
5 Ag 0.738 0.000 0.196
6 Ag 0.762 0.500 0.804
7 Te 0.000 0.500 0.500
8 Te 0.500 0.000 0.500

Properties
The calculation puts the total magnetic moment at 0.000 μB per atom. As for the final energy: -3.066 eV/atom. The calculation puts the excess energy over the best structure of this formula in the dataset at 0.24 eV/f.u.

No. 6
Density functional theory data (PBE) for a geometry-optimized Nd6Y3Tm2 structure.

Unit cell a=17.118 b=17.118 c=17.118 alpha=163.85 beta=163.85 gamma=22.91
Element x y z (fractional)
1 Nd 0.119 0.619 0.500
2 Nd 0.195 0.195 0.000
3 Nd 0.381 0.881 0.500
4 Nd 0.619 0.119 0.500
5 Nd 0.805 0.805 0.000
6 Nd 0.881 0.381 0.500
7 Y 0.299 0.299 0.000
8 Y 0.500 0.500 0.000
9 Y 0.701 0.701 0.000
10 Tm 0.045 0.045 0.000
11 Tm 0.955 0.955 0.000

Properties
The calculation puts the total magnetic moment at 0.000 μB per atom. The formation energy from the elements comes out at 28 kJ per mole of atoms. As for the final energy: -4.882 eV/atom. The calculation puts the excess energy over the best structure of this formula in the dataset at 2.44 eV/f.u.

No. 7
Density functional theory data (PBE) for a geometry-optimized TbCeDyY structure.

Unit cell a=8.020 b=8.020 c=8.020 alpha=90.00 beta=90.00 gamma=90.00
Element x y z (fractional)
1 Tb 0.000 0.000 0.000
2 Tb 0.000 0.500 0.500
3 Tb 0.500 0.000 0.500
4 Tb 0.500 0.500 0.000
5 Ce 0.000 0.000 0.500
6 Ce 0.000 0.500 0.000
7 Ce 0.500 0.000 0.000
8 Ce 0.500 0.500 0.500
9 Dy 0.250 0.250 0.250
10 Dy 0.250 0.750 0.750
11 Dy 0.750 0.250 0.750
12 Dy 0.750 0.750 0.250
13 Y 0.250 0.250 0.750
14 Y 0.250 0.750 0.250
15 Y 0.750 0.250 0.250
16 Y 0.750 0.750 0.750

Properties
The calculation puts the total magnetic moment at 0.310 μB per atom. The formation energy from the elements comes out at 17 kJ per mole of atoms. As for the final energy: -5.233 eV/atom.

No. 8
Density functional theory data (PBE) for a geometry-optimized BaRe2Au structure.

Unit cell a=2.872 b=2.872 c=9.744 alpha=90.00 beta=90.00 gamma=90.00
Element x y z (fractional)
1 Ba 0.000 0.000 0.000
2 Re 0.500 0.500 0.293
3 Re 0.500 0.500 0.707
4 Au 0.000 0.000 0.500

Properties
The calculation puts the total magnetic moment at 0.000 μB per atom. The formation energy from the elements comes out at 117 kJ per mole of atoms. As for the final energy: -6.312 eV/atom. The calculation puts the excess energy over the best structure of this formula in the dataset at 3.40 eV/f.u.